Entry from the Alexandria database: a relaxed SrLiZnPd crystal (PBE).

Values from the calculation:
Energy relative to the elements, eV/f.u.: -1.715
Density of states at the Fermi level, states/eV per atom: 0.49
Symmetry: Cm, No. 8

Cell lengths 4.466, 4.466, 5.972 Å; angles 112.56, 112.56, 60.03 degrees
Atoms (fractional coordinates):
Sr 0.000 0.000 0.000
Li 0.809 0.809 0.429
Zn 0.518 0.518 0.556
Pd 0.201 0.201 0.603